# Ce2GaGe6Rh

A relaxed Ce2GaGe6Rh crystal (PBE, Alexandria).

E	-5.31	eV/atom
calculated volume	21.6	Å³ per atom
D(E_F)	28.269	states/eV per cell
energy relative to the elements	-309	kJ/mol of formula units

Cell: 5.7159 9.0431 8.3754 Å, 90.00 90.00 90.00°
Last column: magnetic moment on the atom in μB.
Sites, in units of the cell vectors:
Ce (0.5000, 0.7060, 0.2422)  0.77
Ce (0.0000, 0.2940, 0.7422)  0.77
Ce (0.5000, 0.7060, 0.7578)  0.77
Ce (0.0000, 0.2940, 0.2578)  0.77
Ge (0.0000, 0.8554, 0.2161)  0.00
Ge (0.5000, 0.1446, 0.7161)  0.00
Ge (0.7861, 0.5430, 0.5000)  -0.01
Ge (0.5000, 0.1446, 0.2839)  0.00
Ge (0.2861, 0.4570, 0.0000)  -0.01
Ge (0.7610, 0.0235, 0.5000)  0.00
Ge (0.7390, 0.9765, 0.0000)  0.00
Ge (0.0000, 0.8554, 0.7839)  0.00
Ge (0.2610, 0.9765, 0.0000)  0.00
Ge (0.2390, 0.0235, 0.5000)  0.00
Ge (0.2139, 0.5430, 0.5000)  -0.01
Ge (0.7139, 0.4570, 0.0000)  -0.01
Rh (0.5000, 0.2083, 0.0000)  0.03
Rh (0.0000, 0.7917, 0.5000)  0.03
Ga (0.0000, 0.6574, 0.0000)  0.00
Ga (0.5000, 0.3426, 0.5000)  0.00



# CeGaGeRh3

A relaxed CeGaGeRh3 crystal (PBE, Alexandria).

E	-6.48	eV/atom
calculated volume	20.3	Å³ per atom
D(E_F)	15.202	states/eV per cell
energy relative to the elements	-311	kJ/mol of formula units

Cell: 5.6202 5.5989 8.2498 Å, 109.84 90.00 90.00°
Last column: magnetic moment on the atom in μB.
Sites, in units of the cell vectors:
Rh (0.7500, 0.7558, 0.5115)  -0.05
Rh (0.5000, 0.7445, 0.0000)  -0.01
Rh (0.0000, 0.2555, 0.0000)  -0.01
Rh (0.0000, 0.7445, 0.0000)  -0.01
Rh (0.5000, 0.2555, 0.0000)  -0.01
Rh (0.2500, 0.2442, 0.4885)  -0.05
Ge (0.2500, 0.0880, 0.1760)  0.00
Ge (0.7500, 0.9120, 0.8240)  0.00
Ga (0.7500, 0.5980, 0.1959)  0.00
Ga (0.2500, 0.4020, 0.8041)  0.00
Ce (0.7500, 0.2785, 0.5570)  0.55
Ce (0.2500, 0.7215, 0.4430)  0.55



# CeGaGe2Ru

A relaxed CeGaGe2Ru crystal (PBE, Alexandria).

E	-6.03	eV/atom
calculated volume	18.9	Å³ per atom
D(E_F)	11.369	states/eV per cell
energy relative to the elements	-257	kJ/mol of formula units

Cell: 5.7559 5.8370 5.6211 Å, 90.00 90.00 90.00°
Last column: magnetic moment on the atom in μB.
Sites, in units of the cell vectors:
Ga (0.6336, 0.7500, 0.0000)  0.01
Ga (0.3664, 0.2500, 0.0000)  0.01
Ge (0.2648, 0.7500, 0.7356)  -0.01
Ge (0.7352, 0.2500, 0.2644)  -0.01
Ge (0.2648, 0.7500, 0.2644)  -0.01
Ge (0.7352, 0.2500, 0.7356)  -0.01
Ce (0.7794, 0.7500, 0.5000)  0.55
Ce (0.2206, 0.2500, 0.5000)  0.55
Ru (0.0000, 0.5000, 0.0000)  -0.02
Ru (0.0000, 0.0000, 0.0000)  -0.02



# Ce2GaGe2Ru5

A relaxed Ce2GaGe2Ru5 crystal (PBE, Alexandria).

E	-7.47	eV/atom
calculated volume	17.1	Å³ per atom
D(E_F)	12.617	states/eV per cell
energy relative to the elements	-403	kJ/mol of formula units

Cell: 3.3890 10.0330 10.0330 Å, 90.00 90.00 90.00°
Sites, in units of the cell vectors:
Ge (0.0000, 0.8724, 0.3724)
Ge (0.0000, 0.1276, 0.6276)
Ge (0.0000, 0.3724, 0.1276)
Ge (0.0000, 0.6276, 0.8724)
Ru (0.5000, 0.5000, 0.0000)
Ru (0.5000, 0.7959, 0.9354)
Ru (0.5000, 0.0646, 0.7959)
Ru (0.5000, 0.5646, 0.7041)
Ru (0.5000, 0.7041, 0.4354)
Ru (0.5000, 0.2041, 0.0646)
Ru (0.5000, 0.0000, 0.5000)
Ru (0.5000, 0.2959, 0.5646)
Ru (0.5000, 0.4354, 0.2959)
Ru (0.5000, 0.9354, 0.2041)
Ce (0.0000, 0.1719, 0.3281)
Ce (0.0000, 0.6719, 0.1719)
Ce (0.0000, 0.3281, 0.8281)
Ce (0.0000, 0.8281, 0.6719)
Ga (0.0000, 0.5000, 0.5000)
Ga (0.0000, 0.0000, 0.0000)



# Ce2Ga4Ge2Ru

A relaxed Ce2Ga4Ge2Ru crystal (PBE, Alexandria).

E	-5.30	eV/atom
calculated volume	19.3	Å³ per atom
D(E_F)	10.585	states/eV per cell
energy relative to the elements	-502	kJ/mol of formula units

Cell: 6.2631 6.2631 6.2631 Å, 89.70 120.17 120.17°
Last column: magnetic moment on the atom in μB.
Sites, in units of the cell vectors:
Ge (0.0000, 0.2806, 0.2806)  0.01
Ge (0.0000, 0.7194, 0.7194)  0.01
Ru (0.0000, 0.0000, 0.0000)  0.01
Ga (0.0000, 0.7166, 0.2834)  0.01
Ga (0.4332, 0.7166, 0.7166)  0.01
Ga (0.0000, 0.2834, 0.7166)  0.01
Ga (0.5668, 0.2834, 0.2834)  0.01
Ce (0.5000, 0.7500, 0.2500)  0.46
Ce (0.5000, 0.2500, 0.7500)  0.46



# CeScGaGe

A relaxed CeScGaGe crystal (PBE, Alexandria).

E	-5.53	eV/atom
calculated volume	21.6	Å³ per atom
D(E_F)	6.077	states/eV per cell
energy relative to the elements	-215	kJ/mol of formula units

Cell: 4.9613 4.9613 4.9613 Å, 60.00 60.00 60.00°
Last column: magnetic moment on the atom in μB.
Sites, in units of the cell vectors:
Ce (0.5000, 0.5000, 0.5000)  0.58
Sc (0.0000, 0.0000, 0.0000)  0.12
Ga (0.7500, 0.7500, 0.7500)  0.02
Ge (0.2500, 0.2500, 0.2500)  0.01



Look up the E of the fourth one. -7.47 eV/atom



Which value of E does entry 5 give? -5.30 eV/atom